Density functional theory data (PBE) for a relaxed BiTeBr crystal.

Unit cell a=7.919 b=7.482 c=8.051 alpha=90.00 beta=105.74 gamma=90.00
Space group Cc (No. 9)
Unique sites:
Bi (0.000, 0.154, 0.000) [4 per cell]
Te (0.262, 0.457, 0.707) [4 per cell]
Br (0.312, 0.036, 0.372) [4 per cell]

* ΔE_f (raw): -31.08 kJ/mol of atoms